# ZnCd2Br | Alexandria via LeMat-Bulk | PBE-GGA | relaxed
data_ZnCd2Br
_cell_length_a 3.351
_cell_length_b 3.583
_cell_length_c 7.975
_cell_angle_alpha 90.00
_cell_angle_beta 90.09
_cell_angle_gamma 90.00
_space_group_name_H-M_alt 'P 1'
_space_group_IT_number 1
_space_group_name_Hall 'P 1'
loop_
_atom_site_label
_atom_site_type_symbol
_atom_site_fract_x
_atom_site_fract_y
_atom_site_fract_z
_atom_site_occupancy
Zn1 Zn 0.000 0.000 0.000 1
Cd1 Cd 0.497 0.500 0.789 1
Cd2 Cd 0.503 0.500 0.211 1
Br1 Br 0.500 0.000 0.500 1
# E: -1.298 eV/atom
# uncorrected formation energy: -0.41 eV/f.u.
# distance to the lowest polymorph of the same formula: 42 meV/atom
# space-group type: P2/m
# crystal system: monoclinic


# Ce3GeAs2 | Alexandria via LeMat-Bulk | PBE-GGA | relaxed
data_Ce3GeAs2
_cell_length_a 7.313
_cell_length_b 7.313
_cell_length_c 7.314
_cell_angle_alpha 99.59
_cell_angle_beta 99.59
_cell_angle_gamma 120.00
_space_group_name_H-M_alt 'P 1'
_space_group_IT_number 1
_space_group_name_Hall 'P 1'
loop_
_atom_site_label
_atom_site_type_symbol
_atom_site_fract_x
_atom_site_fract_y
_atom_site_fract_z
_atom_site_occupancy
Ce1 Ce 0.084 0.416 0.751 1
Ce2 Ce 0.249 0.249 0.250 1
Ce3 Ce 0.416 0.084 0.751 1
Ce4 Ce 0.584 0.916 0.249 1
Ce5 Ce 0.751 0.751 0.750 1
Ce6 Ce 0.916 0.584 0.249 1
Ge1 Ge 0.333 0.667 0.500 1
Ge2 Ge 0.667 0.333 0.500 1
As1 As 0.000 0.000 0.500 1
As2 As 0.166 0.834 0.000 1
As3 As 0.500 0.500 0.000 1
As4 As 0.834 0.166 0.000 1
# E: -6.457 eV/atom
# formation energy: -1170 meV/atom
# space-group type: C2/m
# crystal system: monoclinic


# TlTeCl2 | Alexandria via LeMat-Bulk | PBE-GGA | relaxed
data_TlTeCl2
_cell_length_a 5.553
_cell_length_b 5.553
_cell_length_c 3.457
_cell_angle_alpha 90.00
_cell_angle_beta 90.00
_cell_angle_gamma 90.00
_space_group_name_H-M_alt 'P 1'
_space_group_IT_number 1
_space_group_name_Hall 'P 1'
loop_
_atom_site_label
_atom_site_type_symbol
_atom_site_fract_x
_atom_site_fract_y
_atom_site_fract_z
_atom_site_occupancy
Tl1 Tl 0.000 0.000 0.000 1
Te1 Te 0.500 0.500 0.000 1
Cl1 Cl 0.000 0.500 0.500 1
Cl2 Cl 0.500 0.000 0.500 1
# E: -2.561 eV/atom
# uncorrected formation energy: -1.04 eV/f.u.
# distance to the lowest polymorph of the same formula: 204 meV/atom
# space-group type: P4/mmm
# crystal system: tetragonal


# CaPuAgSb | Alexandria via LeMat-Bulk | PBE-GGA | relaxed
data_CaPuAgSb
_cell_length_a 7.530
_cell_length_b 7.530
_cell_length_c 7.530
_cell_angle_alpha 90.00
_cell_angle_beta 90.00
_cell_angle_gamma 90.00
_space_group_name_H-M_alt 'P 1'
_space_group_IT_number 1
_space_group_name_Hall 'P 1'
loop_
_atom_site_label
_atom_site_type_symbol
_atom_site_fract_x
_atom_site_fract_y
_atom_site_fract_z
_atom_site_occupancy
Ca1 Ca 0.000 0.000 0.000 1
Ca2 Ca 0.000 0.500 0.500 1
Ca3 Ca 0.500 0.000 0.500 1
Ca4 Ca 0.500 0.500 0.000 1
Pu1 Pu 0.000 0.000 0.500 1
Pu2 Pu 0.000 0.500 0.000 1
Pu3 Pu 0.500 0.000 0.000 1
Pu4 Pu 0.500 0.500 0.500 1
Ag1 Ag 0.250 0.250 0.750 1
Ag2 Ag 0.250 0.750 0.250 1
Ag3 Ag 0.750 0.250 0.250 1
Ag4 Ag 0.750 0.750 0.750 1
Sb1 Sb 0.250 0.250 0.250 1
Sb2 Sb 0.250 0.750 0.750 1
Sb3 Sb 0.750 0.250 0.750 1
Sb4 Sb 0.750 0.750 0.250 1
# E: -6.268 eV/atom
# uncorrected formation energy: -1.77 eV/f.u.
# space-group type: F-43m
# crystal system: cubic


# ScCo2Ru | Alexandria via LeMat-Bulk | PBE-GGA | relaxed
data_ScCo2Ru
_cell_length_a 8.790
_cell_length_b 2.781
_cell_length_c 4.573
_cell_angle_alpha 90.00
_cell_angle_beta 103.08
_cell_angle_gamma 90.00
_space_group_name_H-M_alt 'P 1'
_space_group_IT_number 1
_space_group_name_Hall 'P 1'
loop_
_atom_site_label
_atom_site_type_symbol
_atom_site_fract_x
_atom_site_fract_y
_atom_site_fract_z
_atom_site_occupancy
Sc1 Sc 0.000 0.000 0.000 1
Sc2 Sc 0.500 0.500 0.000 1
Co1 Co 0.261 0.500 0.237 1
Co2 Co 0.492 0.000 0.499 1
Co3 Co 0.761 0.000 0.237 1
Co4 Co 0.992 0.500 0.499 1
Ru1 Ru 0.231 0.000 0.669 1
Ru2 Ru 0.731 0.500 0.669 1
# E: -7.467 eV/atom
# distance to the lowest polymorph of the same formula: 78 meV/atom
# formation energy: -13 meV/atom
# space-group type: Cm
# crystal system: monoclinic


# NbS2NF | Alexandria via LeMat-Bulk | PBE-GGA | relaxed
data_NbS2NF
_cell_length_a 4.299
_cell_length_b 4.299
_cell_length_c 3.696
_cell_angle_alpha 90.00
_cell_angle_beta 90.00
_cell_angle_gamma 90.00
_space_group_name_H-M_alt 'P 1'
_space_group_IT_number 1
_space_group_name_Hall 'P 1'
loop_
_atom_site_label
_atom_site_type_symbol
_atom_site_fract_x
_atom_site_fract_y
_atom_site_fract_z
_atom_site_occupancy
Nb1 Nb 0.000 0.000 0.000 1
S1 S 0.000 0.500 0.500 1
S2 S 0.500 0.000 0.500 1
N1 N 0.500 0.500 0.000 1
F1 F 0.500 0.500 0.500 1
# E: -4.562 eV/atom
# uncorrected formation energy: 5.71 eV/f.u.
# distance to the lowest polymorph of the same formula: 1060 meV/atom
# space-group type: P4/mmm
# crystal system: tetragonal


M_tot, record by record: 0.00 1.60 0.00 6.03 1.01 0.67 μB/f.u.